[1]
A relaxed structure of NdSc2Zn, computed with PBE.

a = 10.944 Å, b = 10.944 Å, c = 10.944 Å
α = 17.30°, β = 17.30°, γ = 17.30°
Positions (direct):
Nd 0.000 0.000 0.000
Sc 0.101 0.101 0.101
Sc 0.899 0.899 0.899
Zn 0.500 0.500 0.500

Calculated values
Distance to the lowest polymorph of the same formula: 0.2660 eV per atom
Calculated formation energy: 0.1158 eV per atom
Total magnetic moment: 0.00 μB/f.u.
Electronic total energy: -4.56 eV per atom
Mass density: 4.9 Mg/m³

=====

[2]
A relaxed structure of PmYHg2, computed with PBE.

a = 5.336 Å, b = 5.336 Å, c = 5.336 Å
α = 60.00°, β = 60.00°, γ = 60.00°
Positions (direct):
Pm 0.000 0.000 0.000
Y 0.500 0.500 0.500
Hg 0.250 0.250 0.250
Hg 0.750 0.750 0.750

Calculated values
Distance to the lowest polymorph of the same formula: 0.0019 eV per atom
Calculated formation energy: -0.4887 eV per atom
Total magnetic moment: 0.67 μB/f.u.
Electronic total energy: -3.44 eV per atom
Mass density: 9.8 Mg/m³

=====

[3]
A relaxed structure of Er2TaGa2Rh5, computed with PBE.

a = 9.809 Å, b = 9.809 Å, c = 3.535 Å
α = 90.00°, β = 90.00°, γ = 90.00°
Positions (direct):
Er 0.172 0.328 0.000
Er 0.328 0.828 0.000
Er 0.672 0.172 0.000
Er 0.828 0.672 0.000
Ta 0.000 0.000 0.000
Ta 0.500 0.500 0.000
Ga 0.126 0.626 0.000
Ga 0.374 0.126 0.000
Ga 0.626 0.874 0.000
Ga 0.874 0.374 0.000
Rh 0.000 0.500 0.500
Rh 0.066 0.799 0.500
Rh 0.201 0.066 0.500
Rh 0.299 0.566 0.500
Rh 0.434 0.299 0.500
Rh 0.500 0.000 0.500
Rh 0.566 0.701 0.500
Rh 0.701 0.434 0.500
Rh 0.799 0.934 0.500
Rh 0.934 0.201 0.500

Calculated values
Calculated formation energy: -0.7938 eV per atom
Total magnetic moment: 0.00 μB/f.u.
Electronic total energy: -7.17 eV per atom
Mass density: 11.4 Mg/m³

=====

[4]
A relaxed structure of ZnPOs, computed with PBE.

a = 3.977 Å, b = 3.977 Å, c = 3.229 Å
α = 90.00°, β = 90.00°, γ = 120.00°
Positions (direct):
Zn 0.000 0.000 0.000
P 0.333 0.667 0.500
Os 0.667 0.333 0.500

Calculated values
Calculated formation energy: 0.0979 eV per atom
Total magnetic moment: 0.00 μB/f.u.
Electronic total energy: -5.87 eV per atom
Mass density: 10.8 Mg/m³

=====

[5]
A relaxed structure of BePSe, computed with PBE.

a = 4.229 Å, b = 4.229 Å, c = 4.229 Å
α = 60.00°, β = 60.00°, γ = 60.00°
Positions (direct):
Be 0.000 0.000 0.000
P 0.500 0.500 0.500
Se 0.250 0.250 0.250

Calculated values
Distance to the lowest polymorph of the same formula: 0.7866 eV per atom
Total magnetic moment: 0.00 μB/f.u.
Electronic total energy: -3.31 eV per atom
Mass density: 3.7 Mg/m³

=====

[6]
A relaxed structure of Cs2KHg6Pt, computed with PBE.

a = 7.680 Å, b = 7.680 Å, c = 6.964 Å
α = 90.00°, β = 90.00°, γ = 120.00°
Positions (direct):
Cs 0.333 0.667 0.334
Cs 0.667 0.333 0.666
K 0.000 0.000 0.500
Hg 0.195 0.389 0.837
Hg 0.195 0.805 0.837
Hg 0.389 0.195 0.163
Hg 0.611 0.805 0.837
Hg 0.805 0.195 0.163
Hg 0.805 0.611 0.163
Pt 0.000 0.000 0.000

Calculated values
Calculated formation energy: -0.2299 eV per atom
Total magnetic moment: 0.00 μB/f.u.
Electronic total energy: -1.30 eV per atom
Mass density: 8.0 Mg/m³

=====

[7]
A relaxed structure of ZrTc2Ir, computed with PBE.

a = 5.840 Å, b = 5.840 Å, c = 5.840 Å
α = 101.45°, β = 101.45°, γ = 127.08°
Positions (direct):
Zr 0.000 0.000 0.000
Zr 0.750 0.250 0.500
Tc 0.152 0.625 0.027
Tc 0.375 0.402 0.527
Tc 0.598 0.125 0.973
Tc 0.875 0.848 0.473
Ir 0.250 0.750 0.500
Ir 0.500 0.500 0.000

Calculated values
Distance to the lowest polymorph of the same formula: 0.5366 eV per atom
Calculated formation energy: 0.3546 eV per atom
Total magnetic moment: 0.00 μB/f.u.
Electronic total energy: -9.18 eV per atom
Mass density: 11.2 Mg/m³

=====

[8]
A relaxed structure of SbTe2PdO, computed with PBE.

a = 5.228 Å, b = 5.228 Å, c = 5.206 Å
α = 90.00°, β = 90.00°, γ = 90.00°
Positions (direct):
Sb 0.000 0.000 0.000
Te 0.000 0.500 0.500
Te 0.500 0.000 0.500
Pd 0.000 0.000 0.500
O 0.500 0.500 0.000

Calculated values
Distance to the lowest polymorph of the same formula: 0.6288 eV per atom
Total magnetic moment: 0.00 μB/f.u.
Electronic total energy: -3.28 eV per atom
Mass density: 5.8 Mg/m³

=====

[9]
A relaxed structure of Ba3Sr3Zn4, computed with PBE.

a = 5.323 Å, b = 8.475 Å, c = 8.475 Å
α = 89.68°, β = 90.00°, γ = 90.00°
Positions (direct):
Ba 0.000 0.000 0.000
Ba 0.000 0.499 0.845
Ba 0.000 0.845 0.499
Sr 0.000 0.345 0.345
Sr 0.500 0.174 0.670
Sr 0.500 0.670 0.174
Zn 0.500 0.067 0.285
Zn 0.500 0.285 0.067
Zn 0.500 0.560 0.560
Zn 0.500 0.782 0.782

Calculated values
Calculated formation energy: -0.1149 eV per atom
Total magnetic moment: 0.00 μB/f.u.
Electronic total energy: -1.71 eV per atom
Mass density: 4.1 Mg/m³

=====

[10]
A relaxed structure of AcZn2Sn4, computed with PBE.

a = 8.131 Å, b = 8.131 Å, c = 4.853 Å
α = 90.00°, β = 90.00°, γ = 145.13°
Positions (direct):
Ac 0.000 0.000 0.000
Zn 0.422 0.578 0.500
Zn 0.578 0.422 0.500
Sn 0.176 0.824 0.500
Sn 0.319 0.681 0.000
Sn 0.681 0.319 0.000
Sn 0.824 0.176 0.500

Calculated values
Calculated formation energy: -0.1641 eV per atom
Total magnetic moment: 0.00 μB/f.u.
Electronic total energy: -3.40 eV per atom
Mass density: 7.5 Mg/m³

=====

[11]
A relaxed structure of BaZr5, computed with PBE.

a = 6.559 Å, b = 6.559 Å, c = 7.835 Å
α = 103.18°, β = 103.18°, γ = 28.46°
Positions (direct):
Ba 0.000 0.000 0.000
Zr 0.063 0.063 0.620
Zr 0.311 0.311 0.658
Zr 0.391 0.391 0.326
Zr 0.673 0.673 0.353
Zr 0.744 0.744 0.978

Calculated values
Calculated formation energy: 0.3337 eV per atom
Total magnetic moment: 0.00 μB/f.u.
Electronic total energy: -7.11 eV per atom
Mass density: 6.3 Mg/m³

=====

[12]
A relaxed structure of BiRhSe2, computed with PBE.

a = 4.040 Å, b = 4.040 Å, c = 5.605 Å
α = 90.00°, β = 90.00°, γ = 90.00°
Positions (direct):
Bi 0.000 0.000 0.000
Rh 0.500 0.500 0.500
Se 0.000 0.000 0.500
Se 0.500 0.500 0.000

Calculated values
Total magnetic moment: 0.00 μB/f.u.
Electronic total energy: -4.43 eV per atom
Mass density: 8.5 Mg/m³

=====

[13]
A relaxed structure of BaSn2Te4Au, computed with PBE.

a = 7.454 Å, b = 7.454 Å, c = 16.256 Å
α = 90.00°, β = 90.00°, γ = 143.42°
Positions (direct):
Ba 0.124 0.876 0.750
Ba 0.876 0.124 0.250
Sn 0.369 0.631 0.562
Sn 0.369 0.631 0.938
Sn 0.631 0.369 0.062
Sn 0.631 0.369 0.438
Te 0.000 0.000 0.000
Te 0.000 0.000 0.500
Te 0.277 0.723 0.109
Te 0.277 0.723 0.391
Te 0.440 0.560 0.750
Te 0.560 0.440 0.250
Te 0.723 0.277 0.609
Te 0.723 0.277 0.891
Au 0.159 0.841 0.250
Au 0.841 0.159 0.750

Calculated values
Total magnetic moment: 0.00 μB/f.u.
Electronic total energy: -3.76 eV per atom
Mass density: 6.7 Mg/m³

=====

[14]
A relaxed structure of Ca3Al2GaAu6, computed with PBE.

a = 5.926 Å, b = 5.926 Å, c = 8.928 Å
α = 90.00°, β = 90.00°, γ = 120.00°
Positions (direct):
Ca 0.000 0.000 0.000
Ca 0.333 0.667 0.607
Ca 0.667 0.333 0.393
Al 0.333 0.667 0.045
Al 0.667 0.333 0.955
Ga 0.000 0.000 0.500
Au 0.171 0.341 0.278
Au 0.171 0.829 0.278
Au 0.341 0.171 0.722
Au 0.659 0.829 0.278
Au 0.829 0.171 0.722
Au 0.829 0.659 0.722

Calculated values
Calculated formation energy: -0.4485 eV per atom
Total magnetic moment: 0.00 μB/f.u.
Electronic total energy: -3.46 eV per atom
Mass density: 8.7 Mg/m³

=====

[15]
A relaxed structure of MnP3S, computed with PBE.

a = 4.333 Å, b = 4.333 Å, c = 4.333 Å
α = 90.00°, β = 90.00°, γ = 90.00°
Positions (direct):
Mn 0.000 0.000 0.000
P 0.000 0.000 0.500
P 0.000 0.500 0.000
P 0.500 0.000 0.000
S 0.500 0.500 0.500

Calculated values
Distance to the lowest polymorph of the same formula: 0.0000 eV per atom
Total magnetic moment: 0.00 μB/f.u.
Electronic total energy: -5.41 eV per atom
Mass density: 3.7 Mg/m³

=====

[16]
A relaxed structure of CdBiCl2, computed with PBE.

a = 7.309 Å, b = 7.309 Å, c = 7.309 Å
α = 100.33°, β = 100.33°, γ = 129.89°
Positions (direct):
Cd 0.000 0.000 0.000
Cd 0.750 0.250 0.500
Bi 0.250 0.750 0.500
Bi 0.500 0.500 0.000
Cl 0.227 0.625 0.102
Cl 0.375 0.477 0.602
Cl 0.523 0.125 0.898
Cl 0.875 0.773 0.398

Calculated values
Distance to the lowest polymorph of the same formula: 0.1582 eV per atom
Total magnetic moment: 0.00 μB/f.u.
Electronic total energy: -2.52 eV per atom
Mass density: 4.8 Mg/m³

=====

[17]
A relaxed structure of Ce2ScW2C4, computed with PBE.

a = 7.124 Å, b = 7.124 Å, c = 5.911 Å
α = 105.18°, β = 105.18°, γ = 27.32°
Positions (direct):
Ce 0.125 0.125 0.024
Ce 0.875 0.875 0.976
Sc 0.000 0.000 0.500
W 0.325 0.325 0.485
W 0.675 0.675 0.515
C 0.231 0.231 0.726
C 0.458 0.458 0.735
C 0.542 0.542 0.265
C 0.769 0.769 0.274

Calculated values
Calculated formation energy: -0.1067 eV per atom
Total magnetic moment: 0.00 μB/f.u.
Electronic total energy: -9.11 eV per atom
Mass density: 9.3 Mg/m³

=====

[18]
A relaxed structure of ScBe2Au, computed with PBE.

a = 4.376 Å, b = 4.376 Å, c = 4.376 Å
α = 123.48°, β = 118.00°, γ = 88.79°
Positions (direct):
Sc 0.000 0.000 0.000
Be 0.525 0.525 0.000
Be 0.720 0.220 0.500
Au 0.275 0.775 0.500

Calculated values
Distance to the lowest polymorph of the same formula: 0.1556 eV per atom
Calculated formation energy: -0.1435 eV per atom
Total magnetic moment: 0.00 μB/f.u.
Electronic total energy: -4.41 eV per atom
Mass density: 7.4 Mg/m³

=====

[19]
A relaxed structure of Sc2MnMo, computed with PBE.

a = 9.947 Å, b = 9.947 Å, c = 9.947 Å
α = 17.07°, β = 17.07°, γ = 17.07°
Positions (direct):
Sc 0.091 0.091 0.091
Sc 0.909 0.909 0.909
Mn 0.500 0.500 0.500
Mo 0.000 0.000 0.000

Calculated values
Distance to the lowest polymorph of the same formula: 0.5002 eV per atom
Calculated formation energy: 0.5210 eV per atom
Total magnetic moment: 2.56 μB/f.u.
Electronic total energy: -7.64 eV per atom
Mass density: 5.4 Mg/m³

=====

[20]
A relaxed structure of Tb7Y2Tl2, computed with PBE.

a = 11.224 Å, b = 11.224 Å, c = 11.224 Å
α = 161.27°, β = 55.19°, γ = 128.60°
Positions (direct):
Tb 0.000 0.000 0.000
Tb 0.001 0.661 0.339
Tb 0.322 0.661 0.661
Tb 0.336 0.468 0.868
Tb 0.600 0.468 0.132
Tb 0.654 0.288 0.365
Tb 0.923 0.288 0.635
Y 0.322 0.822 0.500
Y 0.654 0.654 0.000
Tl 0.192 0.949 0.243
Tl 0.706 0.949 0.757

Calculated values
Calculated formation energy: -0.0215 eV per atom
Total magnetic moment: 0.28 μB/f.u.
Electronic total energy: -4.57 eV per atom
Mass density: 8.0 Mg/m³